Below is an optimized crystal structure of LiLa5Tl6, with properties calculated at the PBE level. Values from VASP.

```
&SYSTEM
  ibrav = 0, nat = 12, ntyp = 3
/
ATOMIC_SPECIES
La 138.91 La.upf
Tl 204.38 Tl.upf
Li 6.94 Li.upf
CELL_PARAMETERS angstrom
5.262 -0.031 1.754
0.042 7.841 0.014
-0.010 -0.016 8.801
ATOMIC_POSITIONS crystal
La 0.661 0.000 0.679
La 0.339 0.000 0.321
Tl 0.842 0.235 0.316
Li 0.000 0.000 0.000
Tl 0.842 0.765 0.316
Tl 0.500 0.756 0.000
La 0.673 0.500 0.654
Tl 0.500 0.244 0.000
Tl 0.158 0.765 0.684
La 0.327 0.500 0.346
Tl 0.158 0.235 0.684
La 0.000 0.500 0.000
```

uncorrected energy: -0.139 hartree per atom
symmetry: Cmmm, No. 65
crystal system: orthorhombic
magnetization: 0.0 μB per formula unit


Below is an optimized crystal structure of Li2LaTl2, with properties calculated at the PBE level. Values from VASP.

```
&SYSTEM
  ibrav = 0, nat = 5, ntyp = 3
/
ATOMIC_SPECIES
Li 6.94 Li.upf
Tl 204.38 Tl.upf
La 138.91 La.upf
CELL_PARAMETERS angstrom
-4.653 2.178 -1.738
-3.028 -2.227 -3.910
-4.031 -2.583 2.224
ATOMIC_POSITIONS crystal
Li 0.115 0.615 0.272
Tl 0.238 0.738 0.694
La 0.500 0.000 0.000
Li 0.885 0.385 0.728
Tl 0.762 0.262 0.306
```

uncorrected energy: -0.109 hartree per atom
energy above the lowest structure with this stoichiometry: 0.000 eV/atom
symmetry: C2/m, No. 12
crystal system: monoclinic
magnetization: 0.0 μB per formula unit


Below is an optimized crystal structure of Li2LaTl, with properties calculated at the PBE level. Values from VASP.

```
&SYSTEM
  ibrav = 0, nat = 4, ntyp = 3
/
ATOMIC_SPECIES
Li 6.94 Li.upf
La 138.91 La.upf
Tl 204.38 Tl.upf
CELL_PARAMETERS angstrom
-1.739 4.571 0.728
-3.297 -1.246 -0.054
-1.396 -1.489 6.017
ATOMIC_POSITIONS crystal
Li 0.000 0.024 0.078
La 0.500 0.713 0.703
Li 0.500 0.439 0.242
Tl 0.000 0.325 0.478
```

uncorrected energy: -0.107 hartree per atom
energy above the lowest structure with this stoichiometry: 0.136 eV/atom
symmetry: Pm, No. 6
crystal system: monoclinic
magnetization: 0.0 μB per formula unit


Below is an optimized crystal structure of Li2LaTl, with properties calculated at the PBE level. Values from VASP.

```
&SYSTEM
  ibrav = 0, nat = 4, ntyp = 3
/
ATOMIC_SPECIES
La 138.91 La.upf
Tl 204.38 Tl.upf
Li 6.94 Li.upf
CELL_PARAMETERS angstrom
3.701 0.000 0.000
0.000 3.701 0.000
0.000 0.000 7.215
ATOMIC_POSITIONS crystal
La 0.500 0.500 0.750
Tl 0.500 0.500 0.250
Li 0.000 0.000 0.445
Li 0.000 0.000 0.055
```

uncorrected energy: -0.105 hartree per atom
energy above the lowest structure with this stoichiometry: 0.183 eV/atom
symmetry: P4/mmm, No. 123
crystal system: tetragonal
magnetization: 0.3 μB per formula unit


Below is an optimized crystal structure of Li2LaTl2, with properties calculated at the PBE level. Values from VASP.

```
&SYSTEM
  ibrav = 0, nat = 10, ntyp = 3
/
ATOMIC_SPECIES
Tl 204.38 Tl.upf
Li 6.94 Li.upf
La 138.91 La.upf
CELL_PARAMETERS angstrom
8.671 0.000 0.000
0.000 8.671 0.000
0.000 0.000 3.348
ATOMIC_POSITIONS crystal
Tl 0.631 0.131 0.000
Li 0.164 0.664 0.500
Li 0.664 0.836 0.500
La 0.000 0.000 0.000
Tl 0.869 0.631 0.000
Tl 0.131 0.369 0.000
Tl 0.369 0.869 0.000
La 0.500 0.500 0.000
Li 0.836 0.336 0.500
Li 0.336 0.164 0.500
```

uncorrected energy: -0.105 hartree per atom
energy above the lowest structure with this stoichiometry: 0.108 eV/atom
symmetry: P4/mbm, No. 127
crystal system: tetragonal
magnetization: 0.2 μB per formula unit


Below is an optimized crystal structure of Li2LaTl4, with properties calculated at the PBE level. Values from VASP.

```
&SYSTEM
  ibrav = 0, nat = 7, ntyp = 3
/
ATOMIC_SPECIES
Li 6.94 Li.upf
Tl 204.38 Tl.upf
La 138.91 La.upf
CELL_PARAMETERS angstrom
4.731 0.000 1.478
2.134 4.222 1.478
-0.273 -0.168 9.182
ATOMIC_POSITIONS crystal
Li 0.247 0.247 0.260
Tl 0.866 0.866 0.401
Tl 0.605 0.605 0.185
Li 0.753 0.753 0.740
Tl 0.395 0.395 0.815
Tl 0.134 0.134 0.599
La 0.000 0.000 0.000
```

uncorrected energy: -0.104 hartree per atom
symmetry: R-3m, No. 166
crystal system: trigonal
magnetization: 0.0 μB per formula unit


Below is an optimized crystal structure of Li2La3Tl9, with properties calculated at the PBE level. Values from VASP.

```
&SYSTEM
  ibrav = 0, nat = 14, ntyp = 3
/
ATOMIC_SPECIES
Tl 204.38 Tl.upf
Li 6.94 Li.upf
La 138.91 La.upf
CELL_PARAMETERS angstrom
-3.715 0.291 -6.034
3.212 -6.031 1.899
-7.204 -2.477 4.315
ATOMIC_POSITIONS crystal
Tl 0.500 0.000 0.000
Tl 0.302 0.151 0.348
Li 0.333 0.667 0.801
Tl 0.151 0.849 0.652
La 0.667 0.333 0.668
Tl 0.698 0.849 0.652
Tl 0.849 0.151 0.348
La 0.000 0.000 0.000
Tl 0.849 0.698 0.348
La 0.333 0.667 0.332
Tl 0.151 0.302 0.652
Tl 0.000 0.500 0.000
Tl 0.500 0.500 0.000
Li 0.667 0.333 0.199
```

uncorrected energy: -0.114 hartree per atom
symmetry: P-3m1, No. 164
crystal system: trigonal
magnetization: 0.0 μB per formula unit


Below is an optimized crystal structure of Li2LaTl2, with properties calculated at the PBE level. Values from VASP.

```
&SYSTEM
  ibrav = 0, nat = 10, ntyp = 3
/
ATOMIC_SPECIES
La 138.91 La.upf
Li 6.94 Li.upf
Tl 204.38 Tl.upf
CELL_PARAMETERS angstrom
-4.340 2.274 -1.515
-2.851 -3.216 3.339
-0.071 5.061 7.803
ATOMIC_POSITIONS crystal
La 0.250 0.800 0.282
La 0.750 0.200 0.718
Li 0.750 0.632 0.985
Li 0.250 0.368 0.015
Li 0.250 0.682 0.668
Li 0.750 0.318 0.332
Tl 0.750 0.099 0.091
Tl 0.250 0.231 0.487
Tl 0.750 0.769 0.513
Tl 0.250 0.901 0.909
```

uncorrected energy: -0.109 hartree per atom
energy above the lowest structure with this stoichiometry: 0.000 eV/atom
symmetry: P2_1/m, No. 11
crystal system: monoclinic
magnetization: 0.0 μB per formula unit


Below is an optimized crystal structure of LiLa2Tl4, with properties calculated at the PBE level. Values from VASP.

```
&SYSTEM
  ibrav = 0, nat = 7, ntyp = 3
/
ATOMIC_SPECIES
Li 6.94 Li.upf
Tl 204.38 Tl.upf
La 138.91 La.upf
CELL_PARAMETERS angstrom
4.966 0.000 0.000
0.000 4.966 0.000
2.483 2.483 8.332
ATOMIC_POSITIONS crystal
Li 0.000 0.000 0.000
Tl 0.500 0.000 0.000
Tl 0.000 0.500 0.000
Tl 0.163 0.163 0.674
La 0.357 0.357 0.287
La 0.643 0.643 0.713
Tl 0.837 0.837 0.326
```

uncorrected energy: -0.119 hartree per atom
symmetry: I4/mmm, No. 139
crystal system: tetragonal
magnetization: 0.0 μB per formula unit


Below is an optimized crystal structure of Li6LaTl6, with properties calculated at the PBE level. Values from VASP.

```
&SYSTEM
  ibrav = 0, nat = 13, ntyp = 3
/
ATOMIC_SPECIES
Tl 204.38 Tl.upf
Li 6.94 Li.upf
La 138.91 La.upf
CELL_PARAMETERS angstrom
-4.044 4.349 0.020
-3.568 0.767 -6.636
-6.895 -2.366 2.054
ATOMIC_POSITIONS crystal
Tl 0.315 0.185 0.185
Li 0.500 0.238 0.762
La 0.000 0.000 0.000
Li 0.500 0.000 0.500
Li 0.000 0.000 0.500
Tl 0.000 0.659 0.341
Tl 0.342 0.658 0.658
Tl 0.658 0.342 0.342
Li 0.500 0.500 0.000
Li 0.000 0.500 0.000
Tl 0.685 0.815 0.815
Li 0.500 0.762 0.238
Tl 0.000 0.341 0.659
```

uncorrected energy: -0.096 hartree per atom
symmetry: Immm, No. 71
crystal system: orthorhombic
magnetization: 0.0 μB per formula unit


Below is an optimized crystal structure of LiLa3Tl2, with properties calculated at the PBE level. Values from VASP.

```
&SYSTEM
  ibrav = 0, nat = 12, ntyp = 3
/
ATOMIC_SPECIES
Tl 204.38 Tl.upf
La 138.91 La.upf
Li 6.94 Li.upf
CELL_PARAMETERS angstrom
6.857 0.000 0.000
0.000 6.744 0.000
-3.428 -3.372 8.250
ATOMIC_POSITIONS crystal
Tl 0.897 0.628 0.257
Tl 0.360 0.128 0.257
Tl 0.103 0.372 0.743
La 0.061 0.825 0.649
La 0.939 0.175 0.351
La 0.588 0.325 0.649
La 0.412 0.675 0.351
Tl 0.640 0.872 0.743
Li 0.000 0.750 0.000
La 0.500 0.750 0.000
Li 0.000 0.250 0.000
La 0.500 0.250 0.000
```

uncorrected energy: -0.141 hartree per atom
energy above the lowest structure with this stoichiometry: 0.026 eV/atom
symmetry: Ibam, No. 72
crystal system: orthorhombic
magnetization: 0.0 μB per formula unit


Below is an optimized crystal structure of Li2LaTl, with properties calculated at the PBE level. Values from VASP.

```
&SYSTEM
  ibrav = 0, nat = 4, ntyp = 3
/
ATOMIC_SPECIES
Tl 204.38 Tl.upf
Li 6.94 Li.upf
La 138.91 La.upf
CELL_PARAMETERS angstrom
3.593 0.000 0.000
0.000 3.593 0.000
0.000 0.000 7.901
ATOMIC_POSITIONS crystal
Tl 0.000 0.000 0.447
Li 0.000 0.000 0.061
La 0.500 0.500 0.738
Li 0.500 0.500 0.254
```

uncorrected energy: -0.107 hartree per atom
energy above the lowest structure with this stoichiometry: 0.134 eV/atom
symmetry: P4mm, No. 99
crystal system: tetragonal
magnetization: 0.2 μB per formula unit


Below is an optimized crystal structure of LiLa4Tl2, with properties calculated at the PBE level. Values from VASP.

```
&SYSTEM
  ibrav = 0, nat = 7, ntyp = 3
/
ATOMIC_SPECIES
Tl 204.38 Tl.upf
La 138.91 La.upf
Li 6.94 Li.upf
CELL_PARAMETERS angstrom
5.277 0.000 1.649
2.381 4.710 1.649
0.008 0.005 9.245
ATOMIC_POSITIONS crystal
Tl 0.263 0.263 0.212
La 0.865 0.865 0.405
Li 0.000 0.000 0.000
La 0.609 0.609 0.172
Tl 0.737 0.737 0.788
La 0.135 0.135 0.595
La 0.391 0.391 0.828
```

uncorrected energy: -0.146 hartree per atom
symmetry: R-3m, No. 166
crystal system: trigonal
magnetization: 0.0 μB per formula unit


Below is an optimized crystal structure of LiLa6Tl, with properties calculated at the PBE level. Values from VASP.

```
&SYSTEM
  ibrav = 0, nat = 8, ntyp = 3
/
ATOMIC_SPECIES
La 138.91 La.upf
Li 6.94 Li.upf
Tl 204.38 Tl.upf
CELL_PARAMETERS angstrom
5.082 0.001 1.529
-0.461 5.060 1.531
-0.297 -0.324 10.179
ATOMIC_POSITIONS crystal
La 0.615 0.115 0.770
La 0.248 0.248 0.505
La 0.115 0.615 0.770
La 0.752 0.752 0.495
Li 0.000 0.000 0.000
La 0.885 0.385 0.230
Tl 0.500 0.500 0.000
La 0.385 0.885 0.230
```

uncorrected energy: -0.159 hartree per atom
symmetry: I4/mmm, No. 139
crystal system: tetragonal
magnetization: 0.0 μB per formula unit


Below is an optimized crystal structure of Li2LaTl, with properties calculated at the PBE level. Values from VASP.

```
&SYSTEM
  ibrav = 0, nat = 4, ntyp = 3
/
ATOMIC_SPECIES
La 138.91 La.upf
Tl 204.38 Tl.upf
Li 6.94 Li.upf
CELL_PARAMETERS angstrom
10.260 -0.045 -0.026
9.680 3.400 -0.026
9.680 1.629 2.984
ATOMIC_POSITIONS crystal
La 0.750 0.750 0.750
Tl 0.250 0.250 0.250
Li 0.989 0.989 0.989
Li 0.511 0.511 0.511
```

uncorrected energy: -0.102 hartree per atom
energy above the lowest structure with this stoichiometry: 0.282 eV/atom
symmetry: R-3m, No. 166
crystal system: trigonal
magnetization: 0.0 μB per formula unit


Below is an optimized crystal structure of Li2La3Tl7, with properties calculated at the PBE level. Values from VASP.

```
&SYSTEM
  ibrav = 0, nat = 12, ntyp = 3
/
ATOMIC_SPECIES
Tl 204.38 Tl.upf
Li 6.94 Li.upf
La 138.91 La.upf
CELL_PARAMETERS angstrom
-1.030 2.402 3.856
-0.284 -3.980 2.404
15.787 1.779 0.296
ATOMIC_POSITIONS crystal
Tl 0.416 0.916 0.833
Li 0.136 0.136 0.272
Tl 0.775 0.775 0.550
Li 0.864 0.864 0.728
La 0.334 0.334 0.668
La 0.666 0.666 0.332
Tl 0.000 0.000 0.000
Tl 0.084 0.584 0.167
Tl 0.225 0.225 0.450
La 0.500 0.500 0.000
Tl 0.916 0.416 0.833
Tl 0.584 0.084 0.167
```

uncorrected energy: -0.117 hartree per atom
symmetry: I4/mmm, No. 139
crystal system: tetragonal
magnetization: 0.0 μB per formula unit


Below is an optimized crystal structure of Li6La2Tl9, with properties calculated at the PBE level. Values from VASP.

```
&SYSTEM
  ibrav = 0, nat = 17, ntyp = 3
/
ATOMIC_SPECIES
Li 6.94 Li.upf
La 138.91 La.upf
Tl 204.38 Tl.upf
CELL_PARAMETERS angstrom
6.376 0.000 0.000
-3.188 5.521 0.000
0.000 0.000 13.102
ATOMIC_POSITIONS crystal
Li 0.333 0.667 0.338
La 0.000 0.000 0.340
Tl 0.500 0.000 0.500
Tl 0.000 0.500 0.825
Tl 0.000 0.500 0.175
Tl 0.500 0.000 0.825
Tl 0.500 0.500 0.175
Li 0.667 0.333 0.338
Tl 0.500 0.500 0.825
Tl 0.500 0.000 0.175
Tl 0.000 0.500 0.500
La 0.000 0.000 0.660
Li 0.667 0.333 0.000
Li 0.333 0.667 0.662
Li 0.333 0.667 0.000
Tl 0.500 0.500 0.500
Li 0.667 0.333 0.662
```

uncorrected energy: -0.096 hartree per atom
symmetry: P6/mmm, No. 191
crystal system: hexagonal
magnetization: 0.0 μB per formula unit


Below is an optimized crystal structure of Li2LaTl3, with properties calculated at the PBE level. Values from VASP.

```
&SYSTEM
  ibrav = 0, nat = 12, ntyp = 3
/
ATOMIC_SPECIES
Tl 204.38 Tl.upf
Li 6.94 Li.upf
La 138.91 La.upf
CELL_PARAMETERS angstrom
-0.201 4.269 2.255
-1.036 -4.058 2.411
14.372 -1.368 3.873
ATOMIC_POSITIONS crystal
Tl 0.000 0.000 0.000
Li 0.667 0.333 0.076
La 0.000 0.000 0.250
Li 0.333 0.667 0.924
Tl 0.333 0.667 0.128
La 0.000 0.000 0.750
Tl 0.667 0.333 0.872
Tl 0.000 0.000 0.500
Tl 0.667 0.333 0.628
Tl 0.333 0.667 0.372
Li 0.667 0.333 0.424
Li 0.333 0.667 0.576
```

uncorrected energy: -0.107 hartree per atom
symmetry: P6_3/mmc, No. 194
crystal system: hexagonal
magnetization: 0.0 μB per formula unit


Below is an optimized crystal structure of Li2LaTl, with properties calculated at the PBE level. Values from VASP.

```
&SYSTEM
  ibrav = 0, nat = 4, ntyp = 3
/
ATOMIC_SPECIES
Li 6.94 Li.upf
Tl 204.38 Tl.upf
La 138.91 La.upf
CELL_PARAMETERS angstrom
0.000 3.561 3.561
3.561 0.000 3.561
3.561 3.561 0.000
ATOMIC_POSITIONS crystal
Li 0.750 0.750 0.750
Tl 0.500 0.500 0.500
Li 0.250 0.250 0.250
La 0.000 0.000 0.000
```

uncorrected energy: -0.112 hartree per atom
energy above the lowest structure with this stoichiometry: 0.000 eV/atom
symmetry: Fm-3m, No. 225
crystal system: cubic
magnetization: 0.0 μB per formula unit


Below is an optimized crystal structure of Li2LaTl, with properties calculated at the PBE level. Values from VASP.

```
&SYSTEM
  ibrav = 0, nat = 8, ntyp = 3
/
ATOMIC_SPECIES
La 138.91 La.upf
Tl 204.38 Tl.upf
Li 6.94 Li.upf
CELL_PARAMETERS angstrom
-2.966 -1.727 -3.237
3.568 -2.327 -2.028
-1.520 -9.963 3.269
ATOMIC_POSITIONS crystal
La 0.500 0.500 0.000
Tl 0.750 0.250 0.500
Li 0.757 0.125 0.250
Li 0.875 0.007 0.750
La 0.250 0.750 0.500
Li 0.375 0.243 0.750
Tl 0.000 0.000 0.000
Li 0.993 0.625 0.250
```

uncorrected energy: -0.102 hartree per atom
energy above the lowest structure with this stoichiometry: 0.272 eV/atom
symmetry: I-42d, No. 122
crystal system: tetragonal
magnetization: 0.4 μB per formula unit